LaY5S6 PBE-GGA optimized geometry; E_tot = -86.29 eV/cell; crystal system = monoclinic
1.0
-6.016 -2.537 -2.117
5.364 0.184 -4.279
2.002 -5.096 4.127
S Y La
6 5 1
direct
0.430 0.086 0.257
0.741 0.741 0.254
0.259 0.259 0.746
0.570 0.914 0.743
0.914 0.570 0.743
0.086 0.430 0.257
0.837 0.163 0.500
0.333 0.667 0.000
0.500 0.500 0.500
0.163 0.837 0.500
0.667 0.333 0.000
0.000 0.000 0.000